Entry 1:
PPd2W (PBE, optimized geometry); ΔE_f = 0.272 eV/atom; electronic total energy = -6.915 eV per atom
1.0
-1.829 1.829 9.407
1.829 -1.829 9.407
1.829 1.829 -9.407
P Pd W
2 4 2
Cartesian
0.000 0.000 0.000 P
0.000 1.829 4.704 P
2.743 0.900 -2.352 Pd
0.900 0.914 2.352 Pd
-0.914 0.929 7.055 Pd
0.929 0.914 11.759 Pd
1.829 0.000 4.704 W
0.000 0.000 9.407 W



Entry 2:
Er6In6Ga (PBE, optimized geometry); ΔE_f = -0.253 eV/atom; electronic total energy = -3.856 eV per atom
1.0
6.311 0.000 0.000
-3.155 5.465 0.000
0.000 0.000 10.350
Er In Ga
6 6 1
Cartesian
0.000 0.000 1.981 Er
0.000 0.000 8.370 Er
0.000 3.644 0.000 Er
0.000 3.644 5.175 Er
3.155 1.822 0.000 Er
3.155 1.822 5.175 Er
-1.578 2.733 2.589 In
-1.578 2.733 7.762 In
3.155 0.000 2.589 In
3.155 0.000 7.762 In
1.578 2.733 2.589 In
1.578 2.733 7.762 In
0.000 0.000 5.175 Ga



Entry 3:
Sm4DyY2 (PBE, optimized geometry); ΔE_f = 0.123 eV/atom; relative energy among the computed polymorphs = 0 meV/atom; electronic total energy = -5.078 eV per atom
1.0
6.280 0.000 0.000
0.000 6.595 0.000
-3.047 0.000 11.186
Sm Dy Y
8 2 4
Cartesian
-0.836 1.649 4.086 Sm
-1.983 1.649 10.642 Sm
1.520 3.355 2.400 Sm
1.520 6.538 2.400 Sm
1.713 0.057 8.786 Sm
1.713 3.240 8.786 Sm
5.216 4.946 0.544 Sm
4.069 4.946 7.099 Sm
-1.044 1.649 7.450 Dy
4.277 4.946 3.735 Dy
-0.971 4.946 10.313 Y
0.882 4.946 5.666 Y
2.351 1.649 5.520 Y
4.204 1.649 0.872 Y



Entry 4:
LiPuSeO6 (PBE, optimized geometry); uncorrected formation energy = -14.13 eV/f.u.; electronic total energy = -7.068 eV per atom
1.0
5.384 0.000 0.000
-2.692 4.663 0.000
0.000 0.000 9.400
Li Pu Se O
2 2 2 12
Cartesian
0.000 0.000 0.000 Li
0.000 0.000 4.700 Li
0.000 3.109 2.350 Pu
2.692 1.554 7.050 Pu
0.000 3.109 7.050 Se
2.692 1.554 2.350 Se
-0.960 1.668 5.994 O
-1.727 2.997 8.105 O
0.960 1.668 8.105 O
-0.767 4.660 5.994 O
1.925 0.003 1.294 O
0.965 1.666 3.405 O
1.727 2.997 5.994 O
0.767 4.660 8.105 O
3.459 0.003 3.405 O
1.732 2.994 1.294 O
4.419 1.666 1.294 O
3.652 2.994 3.405 O



Entry 5:
KLa2CuSb (PBE, optimized geometry); uncorrected formation energy = -0.10 eV/f.u.; electronic total energy = -3.855 eV per atom
1.0
5.676 0.000 0.000
0.000 5.676 0.000
0.000 0.000 5.168
K La Cu Sb
1 2 1 1
Cartesian
0.000 0.000 0.000 K
0.000 2.838 2.584 La
2.838 0.000 2.584 La
2.838 2.838 2.584 Cu
2.838 2.838 0.000 Sb



Entry 6:
CePuPa2Ir4 (PBE, optimized geometry); ΔE_f = -0.716 eV/atom; electronic total energy = -10.054 eV per atom
1.0
-2.832 2.832 5.652
2.832 -2.832 5.652
2.832 2.832 -5.652
Ce Pu Pa Ir
1 1 2 4
Cartesian
0.000 0.000 0.000 Ce
0.000 0.000 5.652 Pu
2.832 0.000 2.826 Pa
0.000 2.832 2.826 Pa
2.832 0.000 0.000 Ir
0.000 0.000 2.853 Ir
0.000 2.832 0.000 Ir
0.000 0.000 8.452 Ir



Q: The highest electronic total energy belongs to which entry?
A: KLa2CuSb